No. 1
## PrEuPb (GGA-PBE)

Data for a relaxed PrEuPb crystal.

abc: 3.8518 5.4794 5.4794
angles: 120.00 90.00 90.00
Closest atoms and distances in Å follow each position.
Fractional positions:
Pb (0.6558, 0.6667, 0.3333)  3 Pr 3.33, 3 Eu 3.37
Eu (0.9568, 0.0000, 0.0000)  3 Pb 3.37, 3 Pr 3.57
Pr (0.3874, 0.3333, 0.6667)  3 Pb 3.33, 3 Eu 3.57

Results
Symmetry = P3m1, No. 156
Formation energy = -0.30 eV/atom
Polymorph energy (0 for the lowest one) = 41.9 meV per atom



No. 2
## Nd2MgZnSe5 (GGA-PBE)

Data for a relaxed Nd2MgZnSe5 crystal.

abc: 4.0693 9.0106 12.0667
angles: 90.00 90.00 103.05
Closest atoms and distances in Å follow each position.
Fractional positions:
Nd (0.8686, 0.7371, 0.8035)  8 Se 3.00-3.21
Nd (0.1139, 0.2277, 0.6869)  8 Se 3.04-3.19
Nd (0.1314, 0.2629, 0.3035)  8 Se 3.00-3.21
Nd (0.8861, 0.7723, 0.1869)  8 Se 3.04-3.19
Mg (0.7963, 0.5925, 0.5126)  6 Se 2.66-2.82
Mg (0.2037, 0.4075, 0.0126)  6 Se 2.66-2.82
Zn (0.5592, 0.1183, 0.9581)  4 Se 2.42-2.60
Zn (0.4408, 0.8817, 0.4581)  4 Se 2.42-2.60
Se (0.3552, 0.7104, 0.9997)  1 Mg 2.66
Se (0.6886, 0.3772, 0.8528)  1 Zn 2.60, 2 Mg 2.82
Se (0.4975, 0.9950, 0.7784)  1 Zn 2.42
Se (0.2864, 0.5728, 0.6650)  2 Mg 2.75, 3 Nd 3.00-3.04
Se (0.9519, 0.9038, 0.5668)  2 Zn 2.43
Se (0.6448, 0.2896, 0.4997)  1 Mg 2.66
Se (0.3114, 0.6228, 0.3528)  1 Zn 2.60, 2 Mg 2.82
Se (0.5025, 0.0050, 0.2784)  1 Zn 2.42
Se (0.7136, 0.4272, 0.1650)  2 Mg 2.75, 3 Nd 3.00-3.04
Se (0.0481, 0.0962, 0.0668)  2 Zn 2.43

Results
Symmetry = Cmc2_1, No. 36
Formation energy from raw total energies = -1.46 eV/atom



No. 3
## Hf3BI (GGA-PBE)

Data for a relaxed Hf3BI crystal.

abc: 4.6761 4.6761 4.6761
angles: 90.00 90.00 90.00
Closest atoms and distances in Å follow each position.
Fractional positions:
I (0.5000, 0.5000, 0.5000)  12 Hf 3.31
B (0.0000, 0.0000, 0.0000)  6 Hf 2.34
Hf (0.0000, 0.5000, 0.0000)  2 B 2.34
Hf (0.0000, 0.0000, 0.5000)  2 B 2.34
Hf (0.5000, 0.0000, 0.0000)  2 B 2.34

Results
Symmetry = Pm-3m, No. 221
Formation energy from raw total energies = 0.22 eV/atom
Polymorph energy (0 for the lowest one) = 0.0 meV per atom



No. 4
## KLa2Al (GGA-PBE)

Data for a relaxed KLa2Al crystal.

abc: 3.8676 3.8676 10.1021
angles: 90.00 90.00 90.01
Closest atoms and distances in Å follow each position.
Fractional positions:
K (0.5000, 0.5000, 0.6980)  4 Al 3.69, 4 K 3.87, 1 La 4.13
Al (0.0000, 0.0000, 0.4528)  4 La 3.20
La (0.0000, 0.0000, 0.0602)  8 La 3.58-3.87, 1 Al 3.97
La (0.5000, 0.5000, 0.2891)  4 Al 3.20

Results
Symmetry = P4mm, No. 99
Formation energy = 0.13 eV/atom



No. 5
## CaPW2 (GGA-PBE)

Data for a relaxed CaPW2 crystal.

abc: 5.4541 5.4541 2.7444
angles: 90.00 90.00 120.20
Closest atoms and distances in Å follow each position.
Fractional positions:
Ca (0.5000, 0.0000, 0.5000)  2 P 2.72, 2 Ca 2.74
P (0.0000, 0.5000, 0.5000)  2 Ca 2.72, 2 P 2.74
W (0.0000, 0.0000, 0.0000)  4 W 2.72-2.74
W (0.5000, 0.5000, 0.0000)  4 W 2.72-2.74

Results
Symmetry = Cmmm, No. 65
Formation energy = 0.88 eV/atom
Polymorph energy (0 for the lowest one) = 789.5 meV per atom



No. 6
## CuHg2Te (GGA-PBE)

Data for a relaxed CuHg2Te crystal.

abc: 3.7922 3.7861 7.5988
angles: 90.00 90.00 90.00
Closest atoms and distances in Å follow each position.
Fractional positions:
Cu (0.5000, 0.5000, 0.5960)  1 Hg 2.68, 4 Te 2.69
Hg (0.0000, 0.0000, 0.0352)  4 Hg 3.11, 1 Te 3.11
Hg (0.5000, 0.5000, 0.2431)  1 Cu 2.68
Te (0.0000, 0.0000, 0.6258)  4 Cu 2.69

Results
Symmetry = P4mm, No. 99
Formation energy from raw total energies = 0.10 eV/atom



No. 7
## UHgI3 (GGA-PBE)

Data for a relaxed UHgI3 crystal.

abc: 6.2038 6.2038 6.2038
angles: 90.00 90.00 90.00
Closest atoms and distances in Å follow each position.
Fractional positions:
I (0.0000, 0.5000, 0.0000)  2 U 3.10
I (0.0000, 0.0000, 0.5000)  2 U 3.10
I (0.5000, 0.0000, 0.0000)  2 U 3.10
U (0.0000, 0.0000, 0.0000)  6 I 3.10
Hg (0.5000, 0.5000, 0.5000)  12 I 4.39

Results
Symmetry = Pm-3m, No. 221
Formation energy from raw total energies = -0.54 eV/atom
Polymorph energy (0 for the lowest one) = 55.8 meV per atom